# SCAN CuNi2, single point on PBEsol structure
data_CuNi2
_space_group_name_H-M_alt 'I 4/m m m'
_space_group_IT_number 139
_space_group_name_Hall '-I 4 2'
_cell_length_a 2.465
_cell_length_b 2.465
_cell_length_c 10.486
_cell_angle_alpha 90.00
_cell_angle_beta 90.00
_cell_angle_gamma 90.00
loop_
_atom_site_label
_atom_site_fract_x
_atom_site_fract_y
_atom_site_fract_z
Cu1 0.000 0.000 0.000
Ni1 0.000 0.000 0.330
# Total DFT energy (no corrections): -15.7977 eV per atom
# V: 10.62 Å³/atom
# Theoretical density: 9.43 g/cm³
# DOS(E_F): 5.97 states/eV/cell